Record 1
SmLuCuTe3: optimized geometry, PBE-GGA.

Results
V: 161 Å³/f.u.
spin magnetization: 0.02 μB/f.u.
VASP energy: -56.7 eV for the cell shown

abc: 7.4278 7.4278 10.9118
angles: 90.00 90.00 147.71
Positions (direct):
Sm 0.2304 0.7696 0.7500
Sm 0.7696 0.2304 0.2500
Lu 0.0000 0.0000 0.0000
Lu 0.0000 0.0000 0.5000
Cu 0.4694 0.5306 0.2500
Cu 0.5306 0.4694 0.7500
Te 0.0916 0.9084 0.2500
Te 0.3537 0.6463 0.0613
Te 0.3537 0.6463 0.4387
Te 0.6463 0.3537 0.5613
Te 0.6463 0.3537 0.9387
Te 0.9084 0.0916 0.7500

Record 2
SmLuCuTe3: optimized geometry, PBE-GGA.

Results
V: 166 Å³/f.u.
spin magnetization: 0.01 μB/f.u.
VASP energy: -57.0 eV for the cell shown

abc: 8.6971 4.1688 9.3952
angles: 90.00 103.17 90.00
Positions (direct):
Sm 0.1832 0.2500 0.2478
Sm 0.8168 0.7500 0.7522
Lu 0.3238 0.7500 0.8351
Lu 0.6762 0.2500 0.1649
Cu 0.0698 0.2500 0.5726
Cu 0.9302 0.7500 0.4274
Te 0.0884 0.2500 0.8679
Te 0.2504 0.7500 0.5103
Te 0.4276 0.7500 0.1680
Te 0.5724 0.2500 0.8320
Te 0.7496 0.2500 0.4897
Te 0.9116 0.7500 0.1321

Record 3
Lu2CuSn: optimized geometry, PBE-GGA.

Results
V: 92 Å³/f.u.
spin magnetization: 0.00 μB/f.u.
VASP energy: -16.6 eV for the cell shown

abc: 5.0637 5.0637 5.0637
angles: 60.00 60.00 60.00
Positions (direct):
Lu 0.0000 0.0000 0.0000
Lu 0.2500 0.2500 0.2500
Cu 0.7500 0.7500 0.7500
Sn 0.5000 0.5000 0.5000

Record 4
LuCuSn2: optimized geometry, PBE-GGA.

Results
V: 92 Å³/f.u.
spin magnetization: 0.00 μB/f.u.
VASP energy: -16.4 eV for the cell shown

abc: 5.0698 5.0698 5.0698
angles: 60.00 60.00 60.00
Positions (direct):
Lu 0.0000 0.0000 0.0000
Cu 0.2500 0.2500 0.2500
Sn 0.5000 0.5000 0.5000
Sn 0.7500 0.7500 0.7500

Record 5
Lu3Cu4Sn4: optimized geometry, PBE-GGA.

Results
V: 221 Å³/f.u.
spin magnetization: 0.00 μB/f.u.
VASP energy: -49.3 eV for the cell shown

abc: 8.3358 8.3358 8.3358
angles: 149.40 131.05 58.84
Positions (direct):
Lu 0.0000 0.0000 0.0000
Lu 0.3698 0.8698 0.5000
Lu 0.6302 0.1302 0.5000
Cu 0.0193 0.3285 0.6908
Cu 0.3624 0.6715 0.6908
Cu 0.6376 0.3285 0.3092
Cu 0.9807 0.6715 0.3092
Sn 0.2158 0.2158 0.0000
Sn 0.2958 0.5000 0.7958
Sn 0.7042 0.5000 0.2042
Sn 0.7842 0.7842 0.0000

Record 6
LuCuSn2: optimized geometry, PBE-GGA.

Results
V: 92 Å³/f.u.
spin magnetization: 0.00 μB/f.u.
VASP energy: -16.4 eV for the cell shown

abc: 5.0705 5.0705 5.0705
angles: 60.00 60.00 60.00
Positions (direct):
Lu 0.0000 0.0000 0.0000
Cu 0.7500 0.7500 0.7500
Sn 0.2500 0.2500 0.2500
Sn 0.5000 0.5000 0.5000

Record 7
LuTaCuSn: optimized geometry, PBE-GGA.

Results
V: 79 Å³/f.u.
spin magnetization: 0.05 μB/f.u.
VASP energy: -22.7 eV for the cell shown

abc: 4.8096 4.8096 4.8096
angles: 60.00 60.00 60.00
Positions (direct):
Lu 0.0000 0.0000 0.0000
Ta 0.2500 0.2500 0.2500
Cu 0.7500 0.7500 0.7500
Sn 0.5000 0.5000 0.5000

Record 8
TbLuCu2Sn2: optimized geometry, PBE-GGA.

Results
V: 127 Å³/f.u.
spin magnetization: 0.00 μB/f.u.
VASP energy: -28.1 eV for the cell shown

abc: 4.5167 4.5167 7.1725
angles: 90.00 90.00 120.00
Positions (direct):
Tb 0.0000 0.0000 0.0000
Lu 0.0000 0.0000 0.4993
Cu 0.3333 0.6667 0.3259
Cu 0.6667 0.3333 0.8129
Sn 0.3333 0.6667 0.7255
Sn 0.6667 0.3333 0.2338

- Which of these has the lowest V?
  LuTaCuSn

- VASP energy of number 8 (TbLuCu2Sn2)?
  -28.1 eV for the cell shown